Entry 1:
DFT (PBE) results for crystalline Pm2HoTh3Bi6 at its relaxed geometry.

```
12
Lattice="9.957 -2.287 0.000 9.957 2.287 0.000 -2.068 0.000 8.881" Properties=species:S:1:pos:R:3 pbc="T T T"
Pm 2.626 0.000 2.961
Pm 15.219 0.000 5.921
Ho 9.957 0.000 0.000
Th 1.630 0.000 7.404
Th 8.923 0.000 4.441
Th 16.215 0.000 1.477
Bi 19.402 0.000 2.158
Bi -1.556 0.000 6.724
Bi 5.767 0.000 3.713
Bi 4.808 0.000 8.147
Bi 13.038 0.000 0.735
Bi 12.079 0.000 5.168
```

Properties
- Space-group type: C2/m (12)
- E_tot: -68.48 eV per formula unit
- N(E_F): 6.597 states/eV per cell

=====

Entry 2:
DFT (PBE) results for crystalline PmHo3Th2Bi6 at its relaxed geometry.

```
12
Lattice="9.855 -2.268 0.000 9.855 2.268 0.000 -2.036 0.000 8.806" Properties=species:S:1:pos:R:3 pbc="T T T"
Pm 0.000 0.000 0.000
Ho -1.018 0.000 4.403
Ho 6.246 0.000 1.464
Ho 11.429 0.000 7.342
Th 5.236 0.000 5.892
Th 12.438 0.000 2.915
Bi 2.051 0.000 5.185
Bi 3.167 0.000 0.680
Bi 9.289 0.000 2.243
Bi 8.385 0.000 6.564
Bi 14.508 0.000 8.127
Bi 15.624 0.000 3.621
```

Properties
- Space-group type: C2/m (12)
- E_tot: -65.81 eV per formula unit
- N(E_F): 4.931 states/eV per cell

=====

Entry 3:
DFT (PBE) results for crystalline Pm2Ho3TmBi6 at its relaxed geometry.

```
12
Lattice="9.796 -2.249 0.000 9.796 2.249 0.000 -2.055 0.000 8.752" Properties=species:S:1:pos:R:3 pbc="T T T"
Pm 2.566 0.000 2.910
Pm 14.971 0.000 5.842
Ho 1.584 0.000 7.298
Ho 8.769 0.000 4.376
Ho 15.953 0.000 1.455
Tm 9.796 0.000 0.000
Bi -1.493 0.000 6.591
Bi 5.715 0.000 3.609
Bi 4.658 0.000 8.080
Bi 12.879 0.000 0.673
Bi 11.822 0.000 5.144
Bi 19.030 0.000 2.162
```

Properties
- Space-group type: C2/m (12)
- E_tot: -61.29 eV per formula unit
- N(E_F): 2.006 states/eV per cell

=====

Entry 4:
DFT (PBE) results for crystalline Pm3Ho2TmBi6 at its relaxed geometry.

```
12
Lattice="9.836 -2.259 0.000 9.836 2.259 0.000 -2.047 0.000 8.791" Properties=species:S:1:pos:R:3 pbc="T T T"
Pm 0.000 0.000 0.000
Pm 5.186 0.000 5.862
Pm 12.439 0.000 2.929
Ho 6.219 0.000 1.468
Ho 11.406 0.000 7.322
Tm -1.024 0.000 4.395
Bi 2.029 0.000 5.161
Bi 3.154 0.000 0.691
Bi 9.281 0.000 2.251
Bi 8.344 0.000 6.540
Bi 14.471 0.000 8.099
Bi 15.596 0.000 3.629
```

Properties
- Space-group type: C2/m (12)
- E_tot: -61.69 eV per formula unit
- N(E_F): 2.010 states/eV per cell

=====

Entry 5:
DFT (PBE) results for crystalline PmHo2Tm3Bi6 at its relaxed geometry.

```
12
Lattice="9.731 -2.234 0.000 9.731 2.234 0.000 -2.038 0.000 8.698" Properties=species:S:1:pos:R:3 pbc="T T T"
Pm 0.000 0.000 0.000
Ho 5.119 0.000 5.797
Ho 12.305 0.000 2.901
Tm -1.019 0.000 4.349
Tm 6.170 0.000 1.458
Tm 11.255 0.000 7.241
Bi 2.043 0.000 5.082
Bi 3.130 0.000 0.724
Bi 9.211 0.000 2.236
Bi 8.214 0.000 6.462
Bi 14.294 0.000 7.974
Bi 15.382 0.000 3.616
```

Properties
- Space-group type: C2/m (12)
- E_tot: -60.50 eV per formula unit
- N(E_F): 1.997 states/eV per cell

=====

Entry 6:
DFT (PBE) results for crystalline Pm2HoTmBi5 at its relaxed geometry.

```
9
Lattice="5.420 0.000 0.000 0.000 5.420 0.000 0.000 0.000 11.829" Properties=species:S:1:pos:R:3 pbc="T T T"
Pm 0.000 0.000 2.657
Pm 0.000 0.000 9.172
Ho 2.710 2.710 0.000
Tm 2.710 2.710 5.915
Bi 0.000 0.000 5.915
Bi 0.000 2.710 0.000
Bi 2.710 0.000 0.000
Bi 2.710 2.710 3.016
Bi 2.710 2.710 8.813
```

Properties
- Space-group type: P4/mmm (123)
- E_tot: -38.68 eV per formula unit
- N(E_F): 5.817 states/eV per cell

=====

Entry 7:
DFT (PBE) results for crystalline PmHoTm2Bi4 at its relaxed geometry.

```
8
Lattice="-3.166 3.166 6.335 3.166 -3.166 6.335 3.166 3.166 -6.335" Properties=species:S:1:pos:R:3 pbc="T T T"
Pm 0.000 0.000 0.000
Ho 0.000 0.000 6.335
Tm 3.166 0.000 3.168
Tm 0.000 3.166 3.168
Bi 3.166 0.000 0.000
Bi 0.000 0.000 3.206
Bi 0.000 3.166 0.000
Bi 0.000 0.000 9.465
```

Properties
- Space-group type: I4/mmm (139)
- E_tot: -40.43 eV per formula unit
- N(E_F): 1.246 states/eV per cell

=====

Entry 8:
DFT (PBE) results for crystalline PmY2Ho3Bi6 at its relaxed geometry.

```
12
Lattice="9.780 -2.245 0.000 9.780 2.245 0.000 -2.050 0.000 8.740" Properties=species:S:1:pos:R:3 pbc="T T T"
Pm 0.000 0.000 0.000
Y 5.143 0.000 5.828
Y 12.367 0.000 2.912
Ho -1.025 0.000 4.370
Ho 6.194 0.000 1.466
Ho 11.317 0.000 7.274
Bi 2.054 0.000 5.102
Bi 3.134 0.000 0.724
Bi 9.259 0.000 2.234
Bi 8.251 0.000 6.506
Bi 14.376 0.000 8.016
Bi 15.457 0.000 3.638
```

Properties
- Space-group type: C2/m (12)
- E_tot: -65.17 eV per formula unit
- N(E_F): 2.014 states/eV per cell

=====

Entry 9:
DFT (PBE) results for crystalline PrHo2Bi2 at its relaxed geometry.

```
5
Lattice="3.225 -3.233 0.000 3.225 3.233 0.000 -3.199 0.000 7.609" Properties=species:S:1:pos:R:3 pbc="T T T"
Pr 0.000 0.000 0.000
Ho 1.626 1.614 3.805
Ho 1.626 -1.614 3.805
Bi 0.011 0.000 6.016
Bi 3.240 0.000 1.593
```

Properties
- Space-group type: C2/m (12)
- E_tot: -24.13 eV per formula unit
- N(E_F): 4.680 states/eV per cell

=====

Entry 10:
DFT (PBE) results for crystalline Pr4HoBi5 at its relaxed geometry.

```
10
Lattice="-5.150 5.150 3.261 5.150 -5.150 3.261 5.150 5.150 -3.261" Properties=species:S:1:pos:R:3 pbc="T T T"
Pr 3.097 1.003 0.000
Pr 4.147 -2.053 3.261
Pr 1.003 7.203 0.000
Pr 2.053 4.147 3.261
Ho 0.000 0.000 3.261
Bi 0.000 0.000 0.000
Bi 6.166 2.125 0.000
Bi 2.125 4.133 0.000
Bi 3.025 1.017 3.261
Bi -1.017 3.025 3.261
```

Properties
- Space-group type: I4/m (87)
- E_tot: -52.38 eV per formula unit
- N(E_F): 1.579 states/eV per cell

=====

Entry 11:
DFT (PBE) results for crystalline PrHoBi2 at its relaxed geometry.

```
4
Lattice="3.846 0.000 0.000 0.000 3.846 0.000 0.000 0.000 8.260" Properties=species:S:1:pos:R:3 pbc="T T T"
Pr 0.000 0.000 0.000
Ho 0.000 0.000 4.130
Bi 1.923 1.923 2.165
Bi 1.923 1.923 6.095
```

Properties
- Space-group type: P4/mmm (123)
- Energy above the most stable polymorph in this dataset: 259 meV/atom
- E_tot: -19.66 eV per formula unit
- N(E_F): 4.227 states/eV per cell

=====

Entry 12:
DFT (PBE) results for crystalline Pr5Ho3Bi8 at its relaxed geometry.

```
16
Lattice="4.577 2.643 7.467 -4.577 2.643 7.467 0.000 -5.286 7.467" Properties=species:S:1:pos:R:3 pbc="T T T"
Pr 0.000 0.000 0.000
Pr -2.289 -1.321 7.467
Pr -2.289 1.321 14.933
Pr 0.000 2.643 7.467
Pr 0.000 0.000 11.200
Ho -4.577 0.000 11.200
Ho -2.289 1.321 3.733
Ho 2.289 1.321 3.733
Bi -2.325 -1.342 13.007
Bi 0.000 0.000 5.512
Bi 0.000 -2.685 9.393
Bi -2.325 1.342 9.393
Bi 2.325 -1.342 13.007
Bi 0.000 2.685 13.007
Bi 0.000 0.000 16.888
Bi 2.325 1.342 9.393
```

Properties
- Space-group type: R-3m (166)
- E_tot: -83.18 eV per formula unit
- N(E_F): 2.637 states/eV per cell

=====

Copy entry 10 word for word.
DFT (PBE) results for crystalline Pr4HoBi5 at its relaxed geometry.

```
10
Lattice="-5.150 5.150 3.261 5.150 -5.150 3.261 5.150 5.150 -3.261" Properties=species:S:1:pos:R:3 pbc="T T T"
Pr 3.097 1.003 0.000
Pr 4.147 -2.053 3.261
Pr 1.003 7.203 0.000
Pr 2.053 4.147 3.261
Ho 0.000 0.000 3.261
Bi 0.000 0.000 0.000
Bi 6.166 2.125 0.000
Bi 2.125 4.133 0.000
Bi 3.025 1.017 3.261
Bi -1.017 3.025 3.261
```

Properties
- Space-group type: I4/m (87)
- E_tot: -52.38 eV per formula unit
- N(E_F): 1.579 states/eV per cell

=====

Number 9 is which compound? PrHo2Bi2

=====

Copy entry 8 word for word.
DFT (PBE) results for crystalline PmY2Ho3Bi6 at its relaxed geometry.

```
12
Lattice="9.780 -2.245 0.000 9.780 2.245 0.000 -2.050 0.000 8.740" Properties=species:S:1:pos:R:3 pbc="T T T"
Pm 0.000 0.000 0.000
Y 5.143 0.000 5.828
Y 12.367 0.000 2.912
Ho -1.025 0.000 4.370
Ho 6.194 0.000 1.466
Ho 11.317 0.000 7.274
Bi 2.054 0.000 5.102
Bi 3.134 0.000 0.724
Bi 9.259 0.000 2.234
Bi 8.251 0.000 6.506
Bi 14.376 0.000 8.016
Bi 15.457 0.000 3.638
```

Properties
- Space-group type: C2/m (12)
- E_tot: -65.17 eV per formula unit
- N(E_F): 2.014 states/eV per cell

=====

Which of these has the lowest E_tot? Pr5Ho3Bi8